1.
TlSiRu3: relaxed, GGA-PBE.

a = 4.438 Å, b = 4.438 Å, c = 4.438 Å
α = 90.00°, β = 90.00°, γ = 90.00°
Atoms (fractional coordinates):
Tl  0.000  0.000  0.000
Si  0.500  0.500  0.500
Ru  0.000  0.500  0.500
Ru  0.500  0.000  0.500
Ru  0.500  0.500  0.000

Properties
Fermi-level density of states: 7.14 states/eV/cell
DFT total energy: -6.56 eV/atom
energy above the lowest structure with this stoichiometry: 0 meV per atom
ΔE_f (raw): 0.56 eV/atom

2.
BPd: relaxed, GGA-PBE.

a = 5.690 Å, b = 5.690 Å, c = 5.690 Å
α = 109.47°, β = 109.47°, γ = 109.47°
Atoms (fractional coordinates):
B  0.000  0.000  0.665
B  0.000  0.665  0.000
B  0.335  0.335  0.335
B  0.665  0.000  0.000
Pd  0.000  0.000  0.309
Pd  0.000  0.309  0.000
Pd  0.309  0.000  0.000
Pd  0.691  0.691  0.691

Properties
Fermi-level density of states: 5.66 states/eV/cell
DFT total energy: -5.32 eV/atom
energy relative to the elements: 59.24 kJ/mol of atoms

3.
BaSr2PdO4: relaxed, GGA-PBE.

a = 6.481 Å, b = 6.481 Å, c = 12.432 Å
α = 90.00°, β = 90.00°, γ = 146.79°
Atoms (fractional coordinates):
Ba  0.118  0.882  0.750
Ba  0.882  0.118  0.250
Sr  0.372  0.628  0.547
Sr  0.372  0.628  0.953
Sr  0.628  0.372  0.047
Sr  0.628  0.372  0.453
Pd  0.147  0.853  0.250
Pd  0.853  0.147  0.750
O  0.000  0.000  0.000
O  0.000  0.000  0.500
O  0.268  0.732  0.124
O  0.268  0.732  0.376
O  0.442  0.558  0.750
O  0.558  0.442  0.250
O  0.732  0.268  0.624
O  0.732  0.268  0.876

Properties
Fermi-level density of states: 5.64 states/eV/cell
DFT total energy: -5.73 eV/atom
ΔE_f (raw): -1.94 eV/atom

4.
NaY2Sn: relaxed, GGA-PBE.

a = 6.983 Å, b = 6.983 Å, c = 6.983 Å
α = 103.59°, β = 103.59°, γ = 122.01°
Atoms (fractional coordinates):
Na  0.000  0.000  0.000
Na  0.750  0.250  0.500
Y  0.151  0.625  0.026
Y  0.375  0.401  0.526
Y  0.599  0.125  0.974
Y  0.875  0.849  0.474
Sn  0.250  0.750  0.500
Sn  0.500  0.500  0.000

Properties
Fermi-level density of states: 7.76 states/eV/cell
DFT total energy: -4.52 eV/atom
energy relative to the elements: 3.87 kJ/mol of atoms

5.
Be7Au6: relaxed, GGA-PBE.

a = 8.853 Å, b = 8.853 Å, c = 8.853 Å
α = 31.28°, β = 31.28°, γ = 31.28°
Atoms (fractional coordinates):
Be  0.000  0.000  0.000
Be  0.083  0.083  0.602
Be  0.083  0.602  0.083
Be  0.398  0.917  0.917
Be  0.602  0.083  0.083
Be  0.917  0.398  0.917
Be  0.917  0.917  0.398
Au  0.174  0.174  0.174
Au  0.333  0.333  0.333
Au  0.444  0.444  0.444
Au  0.556  0.556  0.556
Au  0.667  0.667  0.667
Au  0.826  0.826  0.826

Properties
Fermi-level density of states: 1.79 states/eV/cell
DFT total energy: -3.62 eV/atom
energy relative to the elements: -9.80 kJ/mol of atoms

6.
Rb2HfAs2S6: relaxed, GGA-PBE.

a = 6.435 Å, b = 6.435 Å, c = 8.393 Å
α = 105.19°, β = 105.19°, γ = 66.37°
Atoms (fractional coordinates):
Rb  0.190  0.190  0.117
Rb  0.810  0.810  0.883
Hf  0.000  0.000  0.500
As  0.405  0.405  0.760
As  0.595  0.595  0.240
S  0.210  0.719  0.260
S  0.239  0.239  0.522
S  0.281  0.790  0.740
S  0.719  0.210  0.260
S  0.761  0.761  0.478
S  0.790  0.281  0.740

Properties
DFT total energy: -4.98 eV/atom
ΔE_f (raw): -0.80 eV/atom

7.
TaW2Cl: relaxed, GGA-PBE.

a = 2.819 Å, b = 4.436 Å, c = 5.530 Å
α = 90.00°, β = 101.07°, γ = 90.00°
Atoms (fractional coordinates):
Ta  0.000  0.000  0.000
W  0.436  0.000  0.480
W  0.705  0.500  0.252
Cl  0.534  0.500  0.804

Properties
Fermi-level density of states: 2.65 states/eV/cell
DFT total energy: -9.37 eV/atom
energy above the lowest structure with this stoichiometry: 291 meV per atom
ΔE_f (raw): 0.53 eV/atom

8.
Ac6PmTl5: relaxed, GGA-PBE.

a = 10.273 Å, b = 10.273 Å, c = 10.273 Å
α = 146.97°, β = 132.52°, γ = 59.06°
Atoms (fractional coordinates):
Ac  0.071  0.327  0.744
Ac  0.233  0.000  0.233
Ac  0.417  0.673  0.744
Ac  0.583  0.327  0.256
Ac  0.767  0.000  0.767
Ac  0.929  0.673  0.256
Pm  0.500  0.500  0.000
Tl  0.000  0.500  0.500
Tl  0.168  0.168  0.000
Tl  0.348  0.848  0.500
Tl  0.652  0.152  0.500
Tl  0.832  0.832  0.000

Properties
Fermi-level density of states: 16.96 states/eV/cell
DFT total energy: -3.69 eV/atom
energy relative to the elements: -24.40 kJ/mol of atoms
energy above the lowest structure with this stoichiometry: 0 meV per atom

9.
CaTcAu: relaxed, GGA-PBE.

a = 4.694 Å, b = 4.694 Å, c = 4.694 Å
α = 60.00°, β = 60.00°, γ = 60.00°
Atoms (fractional coordinates):
Ca  0.000  0.000  0.000
Tc  0.250  0.250  0.250
Au  0.750  0.750  0.750

Properties
Fermi-level density of states: 1.59 states/eV/cell
DFT total energy: -4.18 eV/atom
energy relative to the elements: 99.88 kJ/mol of atoms
energy above the lowest structure with this stoichiometry: 724 meV per atom

10.
Li2TlBi3: relaxed, GGA-PBE.

a = 6.562 Å, b = 6.562 Å, c = 4.720 Å
α = 90.00°, β = 90.00°, γ = 120.00°
Atoms (fractional coordinates):
Li  0.333  0.667  0.000
Li  0.667  0.333  0.000
Tl  0.000  0.000  0.000
Bi  0.000  0.500  0.500
Bi  0.500  0.000  0.500
Bi  0.500  0.500  0.500

Properties
Fermi-level density of states: 2.69 states/eV/cell
DFT total energy: -3.15 eV/atom
energy relative to the elements: -17.38 kJ/mol of atoms

11.
CuOsF6: relaxed, GGA-PBE.

a = 5.071 Å, b = 5.071 Å, c = 9.598 Å
α = 90.00°, β = 90.00°, γ = 120.00°
Atoms (fractional coordinates):
Cu  0.333  0.667  0.250
Cu  0.667  0.333  0.750
Os  0.000  0.000  0.000
Os  0.000  0.000  0.500
F  0.013  0.317  0.119
F  0.013  0.696  0.381
F  0.304  0.317  0.381
F  0.304  0.987  0.119
F  0.317  0.013  0.619
F  0.317  0.304  0.881
F  0.683  0.696  0.119
F  0.683  0.987  0.381
F  0.696  0.013  0.881
F  0.696  0.683  0.619
F  0.987  0.304  0.619
F  0.987  0.683  0.881

Properties
Fermi-level density of states: 2.91 states/eV/cell
DFT total energy: -4.95 eV/atom
ΔE_f (raw): -1.63 eV/atom

12.
SrLiIr2: relaxed, GGA-PBE.

a = 4.700 Å, b = 4.700 Å, c = 4.700 Å
α = 60.00°, β = 60.00°, γ = 60.00°
Atoms (fractional coordinates):
Sr  0.000  0.000  0.000
Li  0.500  0.500  0.500
Ir  0.250  0.250  0.250
Ir  0.750  0.750  0.750

Properties
Fermi-level density of states: 4.08 states/eV/cell
DFT total energy: -4.80 eV/atom
energy relative to the elements: 51.46 kJ/mol of atoms
energy above the lowest structure with this stoichiometry: 455 meV per atom

13.
K2SiHg: relaxed, GGA-PBE.

a = 3.953 Å, b = 3.953 Å, c = 9.947 Å
α = 90.00°, β = 90.00°, γ = 102.72°
Atoms (fractional coordinates):
K  0.000  0.000  0.000
K  0.500  0.500  0.403
Si  0.500  0.500  0.750
Hg  0.000  0.000  0.660

Properties
Fermi-level density of states: 2.25 states/eV/cell
DFT total energy: -1.78 eV/atom
energy above the lowest structure with this stoichiometry: 214 meV per atom
ΔE_f (raw): 0.20 eV/atom

14.
LaSmEuGa: relaxed, GGA-PBE.

a = 5.515 Å, b = 5.515 Å, c = 5.515 Å
α = 60.00°, β = 60.00°, γ = 60.00°
Atoms (fractional coordinates):
La  0.000  0.000  0.000
Sm  0.500  0.500  0.500
Eu  0.750  0.750  0.750
Ga  0.250  0.250  0.250

Properties
Fermi-level density of states: 5.54 states/eV/cell
DFT total energy: -5.85 eV/atom
energy relative to the elements: -11.13 kJ/mol of atoms

15.
MgCuPb2: relaxed, GGA-PBE.

a = 3.722 Å, b = 4.711 Å, c = 5.600 Å
α = 90.00°, β = 90.00°, γ = 90.00°
Atoms (fractional coordinates):
Mg  0.000  0.000  0.000
Cu  0.500  0.000  0.500
Pb  0.000  0.500  0.500
Pb  0.500  0.500  0.000

Properties
Fermi-level density of states: 2.17 states/eV/cell
DFT total energy: -3.07 eV/atom
energy relative to the elements: 20.19 kJ/mol of atoms

16.
Nd8Co3RuCl4: relaxed, GGA-PBE.

a = 7.930 Å, b = 7.930 Å, c = 8.899 Å
α = 116.46°, β = 116.46°, γ = 60.00°
Atoms (fractional coordinates):
Nd  0.232  0.738  0.705
Nd  0.233  0.233  0.697
Nd  0.262  0.768  0.295
Nd  0.263  0.263  0.296
Nd  0.737  0.737  0.704
Nd  0.738  0.232  0.705
Nd  0.767  0.767  0.303
Nd  0.768  0.262  0.295
Co  0.000  0.000  0.500
Co  0.000  0.500  0.500
Co  0.500  0.000  0.500
Ru  0.500  0.500  0.500
Cl  0.000  0.000  0.000
Cl  0.000  0.500  0.000
Cl  0.500  0.000  0.000
Cl  0.500  0.500  0.000

Properties
Fermi-level density of states: 5.20 states/eV/cell
DFT total energy: -5.61 eV/atom
ΔE_f (raw): -0.85 eV/atom

17.
BaTbSb2: relaxed, GGA-PBE.

a = 8.684 Å, b = 8.684 Å, c = 8.684 Å
α = 30.20°, β = 30.20°, γ = 30.20°
Atoms (fractional coordinates):
Ba  0.000  0.000  0.000
Tb  0.171  0.171  0.171
Sb  0.573  0.573  0.573
Sb  0.765  0.765  0.765

Properties
Fermi-level density of states: 2.49 states/eV/cell
DFT total energy: -4.61 eV/atom
energy above the lowest structure with this stoichiometry: 36 meV per atom
ΔE_f (raw): -0.91 eV/atom

18.
HgGe2H: relaxed, GGA-PBE.

a = 7.181 Å, b = 7.181 Å, c = 7.181 Å
α = 139.53°, β = 139.53°, γ = 58.57°
Atoms (fractional coordinates):
Hg  0.000  0.000  0.000
Hg  0.750  0.250  0.500
Ge  0.275  0.625  0.150
Ge  0.375  0.525  0.650
Ge  0.475  0.125  0.850
Ge  0.875  0.725  0.350
H  0.250  0.750  0.500
H  0.500  0.500  0.000

Properties
Fermi-level density of states: 2.18 states/eV/cell
DFT total energy: -2.77 eV/atom
energy above the lowest structure with this stoichiometry: 0 meV per atom

| no. | V (A^3/atom) |
| --- | --- |
| 1 | 17.49 |
| 2 | 17.73 |
| 3 | 17.88 |
| 4 | 31.56 |
| 5 | 12.78 |
| 6 | 27.49 |
| 7 | 16.97 |
| 8 | 35.99 |
| 9 | 24.38 |
| 10 | 29.33 |
| 11 | 13.36 |
| 12 | 18.35 |
| 13 | 37.90 |
| 14 | 29.65 |
| 15 | 24.55 |
| 16 | 25.98 |
| 17 | 36.71 |
| 18 | 19.32 |